(1)
# YZnTe2

A relaxed YZnTe2 crystal (PBE, Alexandria via LeMat-Bulk).

abc: 8.180 8.180 8.180
angles: 151.83 150.60 41.17
Element x y z (fractional)
Y 0.000 0.000 0.000
Zn 0.349 0.849 0.500
Te 0.575 0.575 0.000
Te 0.837 0.337 0.500

Results
Formation energy from raw total energies (eV per atom): -0.8079
ΔE to the lowest computed polymorph (meV/atom): 118



(2)
# ScZn2As

A relaxed ScZn2As crystal (PBE, Alexandria via LeMat-Bulk).

abc: 9.127 9.127 9.127
angles: 19.79 19.79 19.79
Element x y z (fractional)
Sc 0.000 0.000 0.000
Zn 0.248 0.248 0.248
Zn 0.752 0.752 0.752
As 0.500 0.500 0.500

Results
E_form (eV per atom): 0.030



(3)
# Sm5In4Pb

A relaxed Sm5In4Pb crystal (PBE, Alexandria via LeMat-Bulk).

abc: 3.670 3.670 21.072
angles: 90.00 90.00 90.00
Element x y z (fractional)
Sm 0.000 0.000 0.000
Sm 0.000 0.000 0.198
Sm 0.000 0.000 0.396
Sm 0.000 0.000 0.604
Sm 0.000 0.000 0.802
In 0.500 0.500 0.099
In 0.500 0.500 0.296
In 0.500 0.500 0.704
In 0.500 0.500 0.901
Pb 0.500 0.500 0.500

Results
E_form (eV per atom): -0.483